*P*
VASP calculation (GGA-PBE) on crystalline MnP2RuSe at its relaxed geometry.

Unit cell a=10.5896 b=2.9647 c=5.2271 alpha=90.00 beta=102.57 gamma=90.00
Last column: nearest neighbours and their distance in Å.
Space group Cm (No. 8)
One atom of each set of equivalent atoms:
Mn 0.0000 0.0000 0.0000 x2  3 P 2.26-2.28, 2 Se 2.39
P 0.2009 0.0000 0.2667 x2  1 P 2.24, 1 Mn 2.28, 2 Ru 2.36
P 0.3393 0.0000 0.9987 x2  1 P 2.24, 2 Mn 2.26, 2 Ru 2.46
Ru 0.2736 0.5000 0.6185 x2  4 P 2.36-2.46, 1 Se 2.50
Se 0.0441 0.5000 0.6711 x2  2 Mn 2.39, 1 Ru 2.50

Properties
**Calculated volume**: 160 Å³ per cell

=====

*Q*
VASP calculation (GGA-PBE) on crystalline MnP2RuSe at its relaxed geometry.

Unit cell a=8.4367 b=3.4670 c=6.2341 alpha=90.00 beta=113.91 gamma=90.00
Last column: nearest neighbours and their distance in Å.
Space group Cm (No. 8)
One atom of each set of equivalent atoms:
Mn 0.0000 0.0000 0.0000 x2  3 P 2.27-2.29, 1 Se 2.44
P 0.0374 0.0000 0.6565 x2  1 Mn 2.29, 1 Ru 2.32, 3 Se 2.43-2.52
P 0.3986 0.0000 0.1444 x2  2 Ru 2.25, 2 Mn 2.27
Ru 0.3062 0.5000 0.2927 x2  3 P 2.25-2.32, 1 Se 2.48
Se 0.2339 0.5000 0.6413 x2  3 P 2.43-2.52, 1 Mn 2.44, 1 Ru 2.48

Properties
**Calculated volume**: 167 Å³ per cell

=====

Quick one: most stable of them? *P*

=====

*P*
VASP calculation (GGA-PBE) on crystalline MnP2RuSe at its relaxed geometry.

Unit cell a=5.1893 b=2.9225 c=5.2342 alpha=90.00 beta=112.35 gamma=90.00
Last column: nearest neighbours and their distance in Å.
Space group Pm (No. 6)
One atom of each set of equivalent atoms:
Mn 0.0000 0.0000 0.0000 x1  4 P 2.25-2.27, 1 Se 2.40
P 0.3565 0.5000 0.1409 x1  1 P 2.22, 2 Mn 2.25, 2 Ru 2.38
P 0.6427 0.5000 0.9160 x1  1 P 2.22, 2 Mn 2.27, 2 Ru 2.38
Ru 0.4834 0.0000 0.5274 x1  4 P 2.38, 2 Se 2.56-2.63
Se 0.9948 0.0000 0.5403 x1  1 Mn 2.40, 2 Ru 2.56-2.63

Properties
**Calculated volume**: 73 Å³ per cell

=====

*Q*
VASP calculation (GGA-PBE) on crystalline MnP2RuSe at its relaxed geometry.

Unit cell a=11.1437 b=2.9193 c=4.7607 alpha=90.00 beta=104.83 gamma=90.00
Last column: nearest neighbours and their distance in Å.
Space group Cm (No. 8)
One atom of each set of equivalent atoms:
Mn 0.0000 0.0000 0.0000 x2  4 P 2.32-2.33, 2 Se 2.44
P 0.0228 0.5000 0.6380 x2  1 P 2.23, 2 Mn 2.32, 2 Ru 2.38
P 0.1342 0.5000 0.3093 x2  1 P 2.23, 2 Mn 2.33, 1 Ru 2.39
Ru 0.3561 0.5000 0.4237 x2  3 P 2.38-2.39, 2 Se 2.51
Se 0.3225 0.0000 0.9801 x2  2 Mn 2.44, 2 Ru 2.51

Properties
**Calculated volume**: 150 Å³ per cell

=====

Quick one: most stable of them? *P*

=====

*P*
VASP calculation (GGA-PBE) on crystalline MnP2RuSe at its relaxed geometry.

Unit cell a=3.6711 b=4.2461 c=6.7657 alpha=80.93 beta=82.67 gamma=89.93
Last column: nearest neighbours and their distance in Å.
Space group P1 (No. 1)
One atom of each set of equivalent atoms:
Mn 0.0000 0.0000 0.0000 x1  4 P 2.21-2.30
P 0.0272 0.5170 0.8865 x1  1 Se 2.19, 2 Mn 2.21-2.30, 2 Ru 2.26
P 0.4518 0.9397 0.2069 x1  2 Ru 2.27, 2 Mn 2.29
Ru 0.4804 0.4708 0.0848 x1  4 P 2.26-2.27
Se 0.0671 0.9191 0.6369 x1  1 P 2.19

Properties
**Calculated volume**: 103 Å³ per cell

=====

*Q*
VASP calculation (GGA-PBE) on crystalline MnP2RuSe at its relaxed geometry.

Unit cell a=4.6910 b=3.0161 c=6.2720 alpha=90.00 beta=111.30 gamma=90.00
Last column: nearest neighbours and their distance in Å.
Space group Pm (No. 6)
One atom of each set of equivalent atoms:
Mn 0.0000 0.0000 0.0000 x1  3 P 2.18-2.29, 2 Se 2.32
P 0.6812 0.0000 0.6461 x1  1 Mn 2.18, 2 Ru 2.24
P 0.9515 0.5000 0.2600 x1  2 Mn 2.29, 2 Ru 2.41-2.44
Ru 0.5057 0.5000 0.3638 x1  4 P 2.24-2.44
Se 0.3333 0.5000 0.9305 x1  2 Mn 2.32, 1 Ru 2.54

Properties
**Calculated volume**: 83 Å³ per cell

=====

Quick one: most stable of them? *P*

=====

*P*
VASP calculation (GGA-PBE) on crystalline MnP2RuSe at its relaxed geometry.

Unit cell a=10.5190 b=3.0456 c=5.2305 alpha=90.00 beta=116.18 gamma=90.00
Last column: nearest neighbours and their distance in Å.
Space group Cm (No. 8)
One atom of each set of equivalent atoms:
Mn 0.0000 0.0000 0.0000 x2  3 P 2.26-2.29, 2 Se 2.37
P 0.1631 0.5000 0.2844 x2  2 Mn 2.29, 1 P 2.31, 2 Ru 2.43
P 0.2602 0.5000 0.7751 x2  1 Mn 2.26, 1 P 2.31, 2 Ru 2.33
Ru 0.2998 0.0000 0.1398 x2  4 P 2.33-2.43, 1 Se 2.48
Se 0.4857 0.0000 0.6410 x2  2 Mn 2.37, 1 Ru 2.48, 1 P 2.65

Properties
**Calculated volume**: 150 Å³ per cell

=====

*Q*
VASP calculation (GGA-PBE) on crystalline MnP2RuSe at its relaxed geometry.

Unit cell a=11.0748 b=2.9852 c=5.0750 alpha=90.00 beta=112.53 gamma=90.00
Last column: nearest neighbours and their distance in Å.
Space group Cm (No. 8)
One atom of each set of equivalent atoms:
Mn 0.0000 0.0000 0.0000 x2  3 P 2.34-2.42, 2 Se 2.41
P 0.0122 0.0000 0.5505 x2  1 Mn 2.34, 2 Ru 2.42, 2 P 2.49
P 0.1410 0.5000 0.3646 x2  2 Mn 2.42, 2 Ru 2.47, 2 P 2.49
Ru 0.3339 0.0000 0.5122 x2  4 P 2.42-2.47, 2 Se 2.49-2.59
Se 0.3289 0.0000 0.9982 x2  2 Mn 2.41, 2 Ru 2.49-2.59

Properties
**Calculated volume**: 155 Å³ per cell

=====

*R*
VASP calculation (GGA-PBE) on crystalline MnP2RuSe at its relaxed geometry.

Unit cell a=4.6782 b=3.6819 c=5.6705 alpha=90.00 beta=113.85 gamma=90.00
Last column: nearest neighbours and their distance in Å.
Space group Pm (No. 6)
One atom of each set of equivalent atoms:
Mn 0.0000 0.0000 0.0000 x1  2 P 2.24-2.35, 2 Se 2.42
P 0.6510 0.0000 0.5631 x1  1 P 2.19, 1 Mn 2.35, 2 Ru 2.39
P 0.9969 0.0000 0.3944 x1  1 P 2.19, 1 Mn 2.24, 2 Ru 2.34
Ru 0.3020 0.5000 0.3904 x1  4 P 2.34-2.39, 1 Se 2.46
Se 0.3128 0.5000 0.9599 x1  2 Mn 2.42, 1 Ru 2.46

Properties
**Calculated volume**: 89 Å³ per cell

=====

*S*
VASP calculation (GGA-PBE) on crystalline MnP2RuSe at its relaxed geometry.

Unit cell a=7.7791 b=3.1741 c=6.6732 alpha=90.00 beta=113.24 gamma=90.00
Last column: nearest neighbours and their distance in Å.
Space group Cm (No. 8)
One atom of each set of equivalent atoms:
Mn 0.0000 0.0000 0.0000 x2  5 P 2.25-2.44, 2 Se 2.50
P 0.1137 0.5000 0.3029 x2  1 P 2.22, 3 Ru 2.33-2.47, 2 Mn 2.44
P 0.2283 0.5000 0.0463 x2  1 P 2.22, 3 Mn 2.25-2.31, 1 Ru 2.44
Ru 0.4575 0.5000 0.4232 x2  4 P 2.33-2.47
Se 0.3427 0.0000 0.6911 x2  2 Mn 2.50, 2 Ru 2.79

Properties
**Calculated volume**: 151 Å³ per cell

=====

Quick one: most stable of them? *P*

=====

*P*
VASP calculation (GGA-PBE) on crystalline MnSbPS2 at its relaxed geometry.

Unit cell a=4.9574 b=4.9574 c=5.0814 alpha=90.00 beta=90.00 gamma=90.00
Last column: nearest neighbours and their distance in Å.
Space group P4/mmm (No. 123)
One atom of each set of equivalent atoms:
Mn 0.0000 0.0000 0.0000 x1  4 P 3.51, 8 S 3.55
Sb 0.5000 0.5000 0.5000 x1  4 S 2.48, 2 P 2.54
P 0.5000 0.5000 0.0000 x1  2 Sb 2.54
S 0.0000 0.5000 0.5000 x2  2 Sb 2.48

Properties
**Calculated volume**: 125 Å³ per cell

=====

*Q*
VASP calculation (GGA-PBE) on crystalline MnSbPS2 at its relaxed geometry.

Unit cell a=4.2855 b=4.2855 c=5.0235 alpha=90.00 beta=90.00 gamma=90.00
Last column: nearest neighbours and their distance in Å.
Space group P4/mmm (No. 123)
One atom of each set of equivalent atoms:
Mn 0.0000 0.0000 0.0000 x1  4 S 2.14
Sb 0.5000 0.5000 0.5000 x1  4 P 3.03, 8 S 3.30
P 0.0000 0.0000 0.5000 x1  2 Mn 2.51
S 0.0000 0.5000 0.0000 x2  2 Mn 2.14

Properties
**Calculated volume**: 92 Å³ per cell

=====

Quick one: most stable of them? *Q*

=====

*P*
VASP calculation (GGA-PBE) on crystalline ScMnPS2 at its relaxed geometry.

Unit cell a=4.5135 b=4.5135 c=4.5498 alpha=90.00 beta=90.00 gamma=90.00
Last column: nearest neighbours and their distance in Å.
Space group P4/mmm (No. 123)
One atom of each set of equivalent atoms:
Sc 0.0000 0.0000 0.0000 x1  4 P 3.19, 8 S 3.20
Mn 0.5000 0.5000 0.5000 x1  4 S 2.26, 2 P 2.27
P 0.5000 0.5000 0.0000 x1  2 Mn 2.27
S 0.0000 0.5000 0.5000 x2  2 Mn 2.26

Properties
**Calculated volume**: 93 Å³ per cell

=====

*Q*
VASP calculation (GGA-PBE) on crystalline ScMnPS2 at its relaxed geometry.

Unit cell a=4.8500 b=4.8500 c=4.9889 alpha=90.00 beta=90.00 gamma=90.00
Last column: nearest neighbours and their distance in Å.
Space group P4/mmm (No. 123)
One atom of each set of equivalent atoms:
Sc 0.0000 0.0000 0.0000 x1  4 S 2.42, 2 P 2.49
Mn 0.5000 0.5000 0.5000 x1  4 P 3.43, 8 S 3.48
P 0.0000 0.0000 0.5000 x1  2 Sc 2.49
S 0.0000 0.5000 0.0000 x2  2 Sc 2.42

Properties
**Calculated volume**: 117 Å³ per cell

=====

Quick one: most stable of them? *P*

=====

*P*
VASP calculation (GGA-PBE) on crystalline ScMnP2S at its relaxed geometry.

Unit cell a=4.9230 b=4.9230 c=4.8342 alpha=90.00 beta=90.00 gamma=90.00
Last column: nearest neighbours and their distance in Å.
Space group P4/mmm (No. 123)
One atom of each set of equivalent atoms:
Sc 0.0000 0.0000 0.0000 x1  2 S 2.42, 4 P 2.46
Mn 0.5000 0.5000 0.5000 x1  8 P 3.45, 4 S 3.48
P 0.0000 0.5000 0.0000 x2  2 Sc 2.46
S 0.0000 0.0000 0.5000 x1  2 Sc 2.42

Properties
**Calculated volume**: 117 Å³ per cell

=====

*Q*
VASP calculation (GGA-PBE) on crystalline ScMnP2S at its relaxed geometry.

Unit cell a=4.1928 b=4.1928 c=5.1015 alpha=90.00 beta=90.00 gamma=90.00
Last column: nearest neighbours and their distance in Å.
Space group P4/mmm (No. 123)
One atom of each set of equivalent atoms:
Sc 0.0000 0.0000 0.0000 x1  4 S 2.96, 8 P 3.30
Mn 0.5000 0.5000 0.5000 x1  4 P 2.10
P 0.0000 0.5000 0.5000 x2  2 Mn 2.10
S 0.5000 0.5000 0.0000 x1  2 Mn 2.55

Properties
**Calculated volume**: 90 Å³ per cell

=====

Quick one: most stable of them? *Q*

=====

*P*
VASP calculation (GGA-PBE) on crystalline MnSiP2S at its relaxed geometry.

Unit cell a=4.1764 b=4.1764 c=5.1551 alpha=90.00 beta=90.00 gamma=90.00
Last column: nearest neighbours and their distance in Å.
Space group P4/mmm (No. 123)
One atom of each set of equivalent atoms:
Mn 0.0000 0.0000 0.0000 x1  4 P 2.09
Si 0.5000 0.5000 0.5000 x1  4 S 2.95
P 0.0000 0.5000 0.0000 x2  2 Mn 2.09
S 0.0000 0.0000 0.5000 x1  2 Mn 2.58

Properties
**Calculated volume**: 90 Å³ per cell

=====

*Q*
VASP calculation (GGA-PBE) on crystalline MnSiP2S at its relaxed geometry.

Unit cell a=4.4476 b=4.4476 c=4.4096 alpha=90.00 beta=90.00 gamma=90.00
Last column: nearest neighbours and their distance in Å.
Space group P4/mmm (No. 123)
One atom of each set of equivalent atoms:
Mn 0.0000 0.0000 0.0000 x1  8 P 3.13, 4 S 3.14
Si 0.5000 0.5000 0.5000 x1  2 S 2.20, 4 P 2.22
P 0.0000 0.5000 0.5000 x2  2 Si 2.22
S 0.5000 0.5000 0.0000 x1  2 Si 2.20

Properties
**Calculated volume**: 87 Å³ per cell

=====

Quick one: most stable of them? *P*

=====

*P*
VASP calculation (GGA-PBE) on crystalline SrMnP2S at its relaxed geometry.

Unit cell a=5.4626 b=5.4626 c=5.3802 alpha=90.00 beta=90.00 gamma=90.00
Last column: nearest neighbours and their distance in Å.
Space group P4/mmm (No. 123)
One atom of each set of equivalent atoms:
Sr 0.0000 0.0000 0.0000 x1  2 S 2.69, 4 P 2.73
Mn 0.5000 0.5000 0.5000 x1  8 P 3.83, 4 S 3.86
P 0.0000 0.5000 0.0000 x2  2 Sr 2.73
S 0.0000 0.0000 0.5000 x1  2 Sr 2.69

Properties
**Calculated volume**: 161 Å³ per cell

=====

*Q*
VASP calculation (GGA-PBE) on crystalline SrMnP2S at its relaxed geometry.

Unit cell a=4.2850 b=4.2850 c=5.5403 alpha=90.00 beta=90.00 gamma=90.00
Last column: nearest neighbours and their distance in Å.
Space group P4/mmm (No. 123)
One atom of each set of equivalent atoms:
Sr 0.0000 0.0000 0.0000 x1  4 S 3.03
Mn 0.5000 0.5000 0.5000 x1  4 P 2.14
P 0.0000 0.5000 0.5000 x2  2 Mn 2.14
S 0.5000 0.5000 0.0000 x1  2 Mn 2.77, 4 Sr 3.03

Properties
**Calculated volume**: 102 Å³ per cell

=====

*R*
VASP calculation (GGA-PBE) on crystalline SrMnP2S at its relaxed geometry.

Unit cell a=4.9641 b=4.9641 c=4.0953 alpha=90.00 beta=90.00 gamma=90.00
Last column: nearest neighbours and their distance in Å.
Space group P4/mmm (No. 123)
One atom of each set of equivalent atoms:
Sr 0.0000 0.0000 0.0000 x1  8 P 3.22, 4 Mn 3.51
Mn 0.5000 0.5000 0.0000 x1  2 S 2.05
P 0.0000 0.5000 0.5000 x2  2 S 2.48
S 0.5000 0.5000 0.5000 x1  2 Mn 2.05

Properties
**Calculated volume**: 101 Å³ per cell

=====

Quick one: most stable of them? *Q*

=====

*P*
VASP calculation (GGA-PBE) on crystalline MnTlPS2 at its relaxed geometry.

Unit cell a=4.7306 b=4.7306 c=4.5463 alpha=90.00 beta=90.00 gamma=90.00
Last column: nearest neighbours and their distance in Å.
Space group P4/mmm (No. 123)
One atom of each set of equivalent atoms:
Mn 0.0000 0.0000 0.0000 x1  2 P 2.27, 4 S 2.37
Tl 0.5000 0.5000 0.5000 x1  8 S 3.28, 4 P 3.35
P 0.0000 0.0000 0.5000 x1  2 Mn 2.27
S 0.0000 0.5000 0.0000 x2  2 Mn 2.37

Properties
**Calculated volume**: 102 Å³ per cell

=====

*Q*
VASP calculation (GGA-PBE) on crystalline MnTlPS2 at its relaxed geometry.

Unit cell a=5.1319 b=5.1319 c=5.0694 alpha=90.00 beta=90.00 gamma=90.00
Last column: nearest neighbours and their distance in Å.
Space group P4/mmm (No. 123)
One atom of each set of equivalent atoms:
Mn 0.0000 0.0000 0.0000 x1  8 S 3.61, 4 P 3.63
Tl 0.5000 0.5000 0.5000 x1  2 P 2.53, 4 S 2.57
P 0.5000 0.5000 0.0000 x1  2 Tl 2.53
S 0.0000 0.5000 0.5000 x2  2 Tl 2.57

Properties
**Calculated volume**: 134 Å³ per cell

=====

Quick one: most stable of them? *P*

=====

*P*
VASP calculation (GGA-PBE) on crystalline MnTlP2S at its relaxed geometry.

Unit cell a=4.2720 b=4.2720 c=5.4025 alpha=90.00 beta=90.00 gamma=90.00
Last column: nearest neighbours and their distance in Å.
Space group P4/mmm (No. 123)
One atom of each set of equivalent atoms:
Mn 0.0000 0.0000 0.0000 x1  4 P 2.14
Tl 0.5000 0.5000 0.5000 x1  4 S 3.02
P 0.0000 0.5000 0.0000 x2  2 Mn 2.14
S 0.0000 0.0000 0.5000 x1  2 Mn 2.70, 4 Tl 3.02

Properties
**Calculated volume**: 99 Å³ per cell

=====

*Q*
VASP calculation (GGA-PBE) on crystalline MnTlP2S at its relaxed geometry.

Unit cell a=5.0567 b=5.0567 c=5.0304 alpha=90.00 beta=90.00 gamma=90.00
Last column: nearest neighbours and their distance in Å.
Space group P4/mmm (No. 123)
One atom of each set of equivalent atoms:
Mn 0.0000 0.0000 0.0000 x1  8 P 3.57, 4 S 3.58
Tl 0.5000 0.5000 0.5000 x1  2 S 2.52, 4 P 2.53
P 0.0000 0.5000 0.5000 x2  2 Tl 2.53
S 0.5000 0.5000 0.0000 x1  2 Tl 2.52

Properties
**Calculated volume**: 129 Å³ per cell

=====

Quick one: most stable of them? *P*

=====

*P*
VASP calculation (GGA-PBE) on crystalline MnVPS2 at its relaxed geometry.

Unit cell a=4.5347 b=4.5347 c=4.3994 alpha=90.00 beta=90.00 gamma=90.00
Last column: nearest neighbours and their distance in Å.
Space group P4/mmm (No. 123)
One atom of each set of equivalent atoms:
Mn 0.0000 0.0000 0.0000 x1  2 P 2.20, 4 S 2.27
V 0.5000 0.5000 0.5000 x1  8 S 3.16, 4 P 3.21
P 0.0000 0.0000 0.5000 x1  2 Mn 2.20
S 0.0000 0.5000 0.0000 x2  2 Mn 2.27

Properties
**Calculated volume**: 90 Å³ per cell

=====

*Q*
VASP calculation (GGA-PBE) on crystalline MnVPS2 at its relaxed geometry.

Unit cell a=4.4966 b=4.4966 c=4.7369 alpha=90.00 beta=90.00 gamma=90.00
Last column: nearest neighbours and their distance in Å.
Space group P4/mmm (No. 123)
One atom of each set of equivalent atoms:
Mn 0.0000 0.0000 0.0000 x1  4 P 3.18, 8 S 3.27
V 0.5000 0.5000 0.5000 x1  4 S 2.25, 2 P 2.37
P 0.5000 0.5000 0.0000 x1  2 V 2.37
S 0.0000 0.5000 0.5000 x2  2 V 2.25

Properties
**Calculated volume**: 96 Å³ per cell

=====

Quick one: most stable of them? *Q*